Here is a relaxed SrAlZn2 crystal from Alexandria via LeMat-Bulk. Energies are from PBE.

Output
Formation energy, eV per formula unit: -0.3
Space-group type: Pm

Cell: 4.2306 3.5315 6.4201 Å, 73.82 90.00 90.00°
Last column: nearest neighbours and their distance in Å.
Sites, in units of the cell vectors:
Zn1 0.5000 0.0505 0.2696  2 Zn 2.51
Sr1 0.5000 0.8002 0.7779  7 Zn 3.13-3.51
Zn2 0.0000 0.1631 0.0512  2 Zn 2.51, 2 Al 2.79
Al1 0.0000 0.4862 0.4012  6 Zn 2.79-2.88


Here is a relaxed ZnCd2Cu crystal from Alexandria via LeMat-Bulk. Energies are from PBE.

Output
Formation energy, eV per formula unit: 0.3
Space-group type: P2/m

Cell: 3.4840 3.3413 6.9198 Å, 61.18 90.00 90.00°
Last column: nearest neighbours and their distance in Å.
Sites, in units of the cell vectors:
Cu1 0.5000 0.2500 0.2500  8 Cd 2.82-2.83, 2 Zn 3.03
Zn1 0.5000 0.7500 0.7500  8 Cd 2.88, 2 Cu 3.03
Cd1 0.0000 0.5072 0.4913  4 Cu 2.82-2.83, 4 Zn 2.88, 2 Cd 2.93-3.14
Cd2 0.0000 0.9928 0.0087  4 Cu 2.82-2.83, 4 Zn 2.88, 2 Cd 2.93-3.14


Here is a relaxed BaBePS2 crystal from Alexandria via LeMat-Bulk. Energies are from PBE.

Output
Space-group type: P4/mmm
Formation energy (no corrections), meV per atom: -530
E above lowest polymorph, meV/atom: 0

Cell: 4.9519 4.9519 4.1928 Å, 90.00 90.00 90.00°
Last column: nearest neighbours and their distance in Å.
Sites, in units of the cell vectors:
P1 0.0000 0.0000 0.5000  2 Be 2.10
S1 0.5000 0.0000 0.0000  2 Be 2.48
S2 0.0000 0.5000 0.0000  2 Be 2.48
Ba1 0.5000 0.5000 0.5000  8 S 3.24, 4 P 3.50
Be1 0.0000 0.0000 0.0000  2 P 2.10